40
Lattice="8.8041 0.0000 0.0000 0.0000 5.2943 0.0000 -8.2526 0.0000 9.5057" Properties=species:S:1:pos:R:3 comment="LiVOF2 (GGA+U, relaxed)" density_g_cm3=3.4 e_tot_ev_per_atom=-6.191 pbc="T T T"
Li 0.0000 0.3930 0.0000
Li -4.1263 4.9013 4.7529
Li 2.6576 0.5068 1.7996
Li -1.4687 4.7875 6.5525
Li 0.1446 2.0829 6.7397
Li 4.2709 3.2114 1.9868
Li 2.9906 2.2474 4.7079
Li -1.1357 3.0468 9.4608
V -5.8009 2.3796 8.6575
V -1.6745 2.9147 3.9046
V -2.8889 2.2195 6.4921
V 1.2374 3.0748 1.7392
V -0.0411 0.6099 4.0474
V -4.1674 4.6843 8.8002
V 5.8556 0.6113 1.7750
V 1.7293 4.6829 6.5279
O 1.4439 1.5581 0.5402
O -2.6824 3.7362 5.2931
O -0.0057 2.2659 3.0376
O -4.1320 3.0284 7.7905
O -1.3276 1.4045 5.3108
O 2.7987 3.8897 0.5579
O 5.8357 2.2200 2.7010
O 1.7093 3.0742 7.4539
F -4.3142 1.3664 5.3770
F -0.1879 3.9279 0.6242
F -5.6793 0.3648 7.7275
F -1.5530 4.9294 2.9746
F -2.8550 0.3950 7.5948
F 1.2714 4.8993 2.8420
F 4.2279 1.1165 0.4901
F 0.1015 4.1778 5.2429
F 2.7992 2.2553 2.8241
F -1.3272 3.0390 7.5770
F 1.5089 1.1344 5.3236
F 5.6353 4.1599 0.5707
F 0.2958 0.3127 7.5618
F 4.4222 4.9815 2.8090
F 7.1549 1.2077 0.4456
F 3.0286 4.0866 5.1984